Entry 1:
A relaxed structure of Tm6Ni2Te3S. Source: the Alexandria database, functional GGA-PBE.

Unit cell a=6.985 b=6.985 c=7.436 alpha=98.97 beta=98.97 gamma=120.18
Positions (direct):
Tm 0.931 0.584 0.793
Tm 0.722 0.722 0.205
Tm 0.069 0.416 0.207
Tm 0.584 0.931 0.793
Tm 0.278 0.278 0.795
Tm 0.416 0.069 0.207
Ni 0.332 0.668 0.000
Ni 0.668 0.332 0.000
Te 0.161 0.839 0.500
Te 0.839 0.161 0.500
Te 0.500 0.500 0.500
S 0.000 0.000 0.000

Summary:
SG ... C2/m
Raw formation energy ... -1.07 eV/atom

Entry 2:
A relaxed structure of VNi2TeS. Source: the Alexandria database, functional GGA-PBE.

Unit cell a=4.619 b=4.256 c=4.619 alpha=90.00 beta=90.00 gamma=90.00
Positions (direct):
Ni 0.000 0.000 0.500
Ni 0.500 0.000 0.000
S 0.000 0.500 0.000
Te 0.500 0.500 0.500
V 0.000 0.000 0.000

Summary:
SG ... P4/mmm
Raw formation energy ... 0.59 eV/atom

Entry 3:
A relaxed structure of Th4NiS3. Source: the Alexandria database, functional GGA-PBE.

Unit cell a=5.743 b=5.743 c=7.035 alpha=114.09 beta=114.09 gamma=90.01
Positions (direct):
Ni 0.000 0.000 0.000
S 0.500 0.500 0.000
S 0.750 0.250 0.500
S 0.250 0.750 0.500
Th 0.000 0.500 0.000
Th 0.500 0.000 0.000
Th 0.247 0.247 0.494
Th 0.753 0.753 0.506

Summary:
SG ... I4/mmm
Raw formation energy ... -1.50 eV/atom

Entry 4:
A relaxed structure of Th2NiS. Source: the Alexandria database, functional GGA-PBE.

Unit cell a=3.509 b=3.509 c=9.457 alpha=79.31 beta=79.31 gamma=60.00
Positions (direct):
Ni 0.000 0.000 0.000
S 0.500 0.500 0.500
Th 0.092 0.092 0.723
Th 0.908 0.908 0.277

Summary:
SG ... R-3m
Distance to the lowest polymorph of the same formula ... 0.6566 eV per atom
Raw formation energy ... -0.29 eV/atom

Entry 5:
A relaxed structure of Th2Ni4S5. Source: the Alexandria database, functional GGA-PBE.

Unit cell a=3.792 b=3.792 c=15.865 alpha=83.14 beta=83.14 gamma=60.00
Positions (direct):
Th 0.128 0.128 0.617
Th 0.872 0.872 0.383
Ni 0.682 0.682 0.953
Ni 0.587 0.587 0.240
Ni 0.413 0.413 0.760
Ni 0.318 0.318 0.047
S 0.756 0.756 0.733
S 0.635 0.635 0.095
S 0.500 0.500 0.500
S 0.365 0.365 0.905
S 0.244 0.244 0.267

Summary:
SG ... R-3m
Raw formation energy ... -0.92 eV/atom

Entry 6:
A relaxed structure of Th2NiS. Source: the Alexandria database, functional GGA-PBE.

Unit cell a=3.951 b=3.951 c=7.585 alpha=74.90 beta=74.90 gamma=60.00
Positions (direct):
Th 0.076 0.076 0.772
Th 0.257 0.257 0.229
Ni 0.668 0.668 0.997
S 0.499 0.499 0.502

Summary:
SG ... R3m
Distance to the lowest polymorph of the same formula ... 0.0000 eV per atom
Raw formation energy ... -0.94 eV/atom

The records above yield final energy values of -0.1983, -0.1837, -0.2749, -0.2379, -0.2298, -0.2620 hartree per atom, respectively.
The records above yield density of states at the Fermi level values of 5.47, 5.04, 4.57, 3.16, 6.53, 2.75 states/eV/cell, respectively.
The records above yield calculated volume values of 24.82, 18.16, 23.68, 24.62, 17.79, 24.45 Å³ per atom, respectively.